! RbTe2Br6, optimized geometry, DFT PBE; values from VASP
&SYSTEM
  ibrav = 0, nat = 18, ntyp = 3
/
ATOMIC_SPECIES
Br 79.90 Br.upf
Te 127.60 Te.upf
Rb 85.47 Rb.upf
ATOMIC_POSITIONS crystal
Br 0.9451 0.4751 0.7545
Br 0.0549 0.5249 0.2455
Br 0.7692 0.2008 0.1330
Br 0.4451 0.7545 0.4751
Br 0.9196 0.8286 0.4174
Br 0.0804 0.1714 0.5826
Br 0.5804 0.5826 0.1714
Br 0.4196 0.4174 0.8286
Br 0.7308 0.8670 0.7992
Br 0.5549 0.2455 0.5249
Br 0.2308 0.7992 0.8670
Br 0.2692 0.1330 0.2008
Te 0.0853 0.6099 0.8243
Te 0.5853 0.8243 0.6099
Te 0.4147 0.1757 0.3901
Te 0.9147 0.3901 0.1757
Rb 0.2500 0.1356 0.8644
Rb 0.7500 0.8644 0.1356
CELL_PARAMETERS angstrom
-6.9337 -3.5758 -0.0299
-1.5816 -6.5687 -8.4850
0.4064 -10.5165 2.6236
! E_tot ... -44.94 eV/cell
! Crystal system ... monoclinic
! Formation energy from raw total energies ... -0.576 eV/atom

! CaThAl2Zn2, optimized geometry, DFT PBE; values from VASP
&SYSTEM
  ibrav = 0, nat = 6, ntyp = 4
/
ATOMIC_SPECIES
Ca 40.08 Ca.upf
Zn 65.41 Zn.upf
Al 26.98 Al.upf
Th 232.04 Th.upf
ATOMIC_POSITIONS crystal
Ca 0.0000 0.0000 0.0000
Zn 0.3333 0.6667 0.2565
Zn 0.6667 0.3333 0.7435
Al 0.6667 0.3333 0.2584
Al 0.3333 0.6667 0.7416
Th 0.0000 0.0000 0.5000
CELL_PARAMETERS angstrom
-3.5568 2.6900 -0.6581
1.1660 -3.0060 -3.1504
-4.5840 -5.2505 3.3132
! E_tot ... -21.51 eV/cell
! Crystal system ... trigonal